First-principles (PBE) data for crystalline Sm3DyBi4 at its relaxed geometry, as listed in the Alexandria database.

Lattice parameters (Å, degrees): 6.4142 6.4142 6.4142 90.00 90.00 90.00
Closest atoms and distances in Å follow each position.
Space group Pm-3m (No. 221)
Unique sites:
Sm 0.0000 0.0000 0.5000 [3 per cell]  6 Bi 3.21
Dy 0.5000 0.5000 0.5000 [1 per cell]  6 Bi 3.21
Bi 0.0000 0.0000 0.0000 [1 per cell]  6 Sm 3.21
Bi 0.0000 0.5000 0.5000 [3 per cell]  2 Dy 3.21, 4 Sm 3.21

Values from the calculation:
For the density of states at the Fermi level, the calculation gives 0.44 states/eV per cell. As for the energy relative to the elements: -912 meV/atom. For the energy above the most stable polymorph in this dataset, the calculation gives 0.000 eV/atom.


First-principles (PBE) data for crystalline CsCu2GeB at its relaxed geometry, as listed in the Alexandria database.

Lattice parameters (Å, degrees): 5.4677 5.4677 6.0158 90.00 90.00 90.00
Closest atoms and distances in Å follow each position.
Space group P4/mmm (No. 123)
Unique sites:
Cs 0.0000 0.0000 0.0000 [1 per cell]  4 Cu 2.73, 2 Ge 3.01
Cu 0.0000 0.5000 0.0000 [2 per cell]  2 Cs 2.73
Ge 0.0000 0.0000 0.5000 [1 per cell]  2 Cs 3.01
B 0.5000 0.5000 0.5000 [1 per cell]  4 Ge 3.87, 8 Cu 4.06

Values from the calculation:
For the density of states at the Fermi level, the calculation gives 6.20 states/eV per cell. As for the energy relative to the elements: 2656 meV/atom.